Entry 1:
Entry from Alexandria: a relaxed BaGd3Re crystal (PBE).

```
BaGd3Re
1.0
5.6110 0.0000 0.0000
0.0000 5.6110 0.0000
0.0000 0.0000 5.6110
Gd Re Ba
3 1 1
direct
0.0000 0.0000 0.5000 Gd
0.5000 0.0000 0.0000 Gd
0.0000 0.5000 0.0000 Gd
0.0000 0.0000 0.0000 Re
0.5000 0.5000 0.5000 Ba
```

Values from the calculation:
density of states at the Fermi level = 3.3 states/eV per cell
formation energy from the elements = 0.170 eV/atom
size of the total moment = 20.87 μB per cell
calculated density = 7.48 g cm⁻³


Entry 2:
Entry from Alexandria: a relaxed SnSb3O crystal (PBE).

```
SnSb3O
1.0
5.6245 0.0000 0.0000
0.0000 5.6245 0.0000
0.0000 0.0000 5.6245
Sb Sn O
3 1 1
direct
0.5000 0.0000 0.0000 Sb
0.0000 0.0000 0.5000 Sb
0.0000 0.5000 0.0000 Sb
0.0000 0.0000 0.0000 Sn
0.5000 0.5000 0.5000 O
```

Values from the calculation:
E above lowest polymorph = 1353 meV per atom
density of states at the Fermi level = 11.3 states/eV per cell
size of the total moment = 0.00 μB per cell
calculated density = 4.67 g cm⁻³
energy relative to the elements, uncorrected = 1319 meV/atom


Entry 3:
Entry from Alexandria: a relaxed Dy7Ru2Rh2 crystal (PBE).

```
Dy7Ru2Rh2
1.0
-2.9503 -0.3289 -5.7599
-1.1864 -6.6747 0.9861
-4.5499 1.4577 4.3775
Dy Ru Rh
7 2 2
direct
0.5001 0.7247 0.9999 Dy
0.0001 0.7247 0.4999 Dy
0.9999 0.2753 0.5001 Dy
0.4999 0.2619 0.5001 Dy
0.4999 0.2753 0.0001 Dy
0.5001 0.7381 0.4999 Dy
0.0000 0.0000 0.0000 Dy
0.1745 0.5000 0.1745 Ru
0.8255 0.5000 0.8255 Ru
0.7150 0.0000 0.2850 Rh
0.2850 0.0000 0.7150 Rh
```

Values from the calculation:
density of states at the Fermi level = 7.5 states/eV per cell
formation energy from the elements = -0.283 eV/atom
size of the total moment = 0.00 μB per cell
calculated density = 9.33 g cm⁻³


Entry 4:
Entry from Alexandria: a relaxed AgHg2Br crystal (PBE).

```
AgHg2Br
1.0
5.8349 0.0000 0.0000
0.0002 6.5047 0.0004
0.0000 0.0005 12.4626
Ag Br Hg
4 4 8
direct
0.0000 0.7500 0.3811 Ag
0.5000 0.2500 0.8811 Ag
0.0000 0.2500 0.6189 Ag
0.5000 0.7500 0.1189 Ag
0.7499 0.9917 0.2500 Br
0.7501 0.4917 0.7500 Br
0.2501 0.0083 0.7500 Br
0.2499 0.5083 0.2500 Br
0.7175 0.8929 0.5648 Hg
0.7826 0.8930 0.9352 Hg
0.2826 0.6071 0.5648 Hg
0.2174 0.1070 0.0648 Hg
0.7825 0.3930 0.0648 Hg
0.2825 0.1071 0.4352 Hg
0.2175 0.6070 0.9352 Hg
0.7174 0.3929 0.4352 Hg
```

Values from the calculation:
E above lowest polymorph = 0 meV per atom
density of states at the Fermi level = 0.3 states/eV per cell
size of the total moment = 0.00 μB per cell
calculated density = 8.27 g cm⁻³
energy relative to the elements, uncorrected = -144 meV/atom


Entry 5:
Entry from Alexandria: a relaxed Rb2SrRh crystal (PBE).

```
Rb2SrRh
1.0
2.8228 3.0168 4.3220
-1.5018 5.6702 1.1587
-2.8728 1.3564 5.0651
Rb Rh Sr
2 1 1
direct
0.7500 0.7500 0.7500 Rb
0.2500 0.2500 0.2500 Rb
0.5000 0.5000 0.5000 Rh
0.0000 0.0000 0.0000 Sr
```

Values from the calculation:
density of states at the Fermi level = 5.2 states/eV per cell
formation energy from the elements = 0.737 eV/atom
size of the total moment = 0.00 μB per cell
calculated density = 3.97 g cm⁻³


Entry 6:
Entry from Alexandria: a relaxed GdAl2Au crystal (PBE).

```
GdAl2Au
1.0
-1.6390 -1.5436 -3.6999
1.5763 -3.8981 0.9281
-3.6608 -0.9954 2.0369
Al Au Gd
2 1 1
direct
0.0000 0.0000 0.5000 Al
0.0000 0.5000 0.0000 Al
0.5000 0.0000 0.0000 Au
0.5000 0.5000 0.5000 Gd
```

Values from the calculation:
density of states at the Fermi level = 1.3 states/eV per cell
formation energy from the elements = -0.479 eV/atom
size of the total moment = 7.05 μB per cell
calculated density = 8.44 g cm⁻³


Entry 7:
Entry from Alexandria: a relaxed Rb2CdOsI6 crystal (PBE).

```
Rb2CdOsI6
1.0
8.2941 0.0000 0.0000
0.0000 8.2941 0.0000
4.1471 4.1471 5.8409
Rb I Os Cd
2 6 1 1
direct
0.2500 0.7500 0.5000 Rb
0.7500 0.2500 0.5000 Rb
0.7666 0.7666 0.0000 I
0.2334 0.2334 0.0000 I
0.2346 0.2346 0.5308 I
0.2334 0.7666 0.0000 I
0.7666 0.2334 0.0000 I
0.7654 0.7654 0.4692 I
0.0000 0.0000 0.0000 Os
0.5000 0.5000 0.0000 Cd
```

Values from the calculation:
density of states at the Fermi level = 9.0 states/eV per cell
size of the total moment = 1.37 μB per cell
calculated density = 5.10 g cm⁻³
energy relative to the elements, uncorrected = -489 meV/atom


Entry 8:
Entry from Alexandria: a relaxed KTaW2 crystal (PBE).

```
KTaW2
1.0
-2.9074 -3.8348 0.2351
2.1200 -1.3554 4.1089
-6.5663 2.3806 6.9981
K W Ta
2 4 2
direct
0.5000 0.5000 0.0000 K
0.2500 0.7500 0.5000 K
0.3750 0.2104 0.7500 W
0.8750 0.0396 0.7500 W
0.7896 0.1250 0.2500 W
0.9604 0.6250 0.2500 W
0.0000 0.0000 0.0000 Ta
0.7500 0.2500 0.5000 Ta
```

Values from the calculation:
E above lowest polymorph = 1377 meV per atom
density of states at the Fermi level = 12.2 states/eV per cell
formation energy from the elements = 2.101 eV/atom
size of the total moment = 0.00 μB per cell
calculated density = 9.06 g cm⁻³